(1)
Entry from Alexandria: Tl5Sn2Te5 after structural relaxation (PBE-GGA).

Density in g/cm3: 6.799
Raw total energy in eV for the cell shown: -38.5
D(E_F) in states/eV per atom: 0.11
Crystal system: monoclinic

```
Tl5Sn2Te5
1.0
-1.9385 4.4964 -1.3641
-5.6084 -4.0682 4.0302
7.9557 5.9210 8.2117
Te Tl Sn
5 5 2
Direct
0.1130 0.2260 0.4071 Te
0.0000 0.0000 0.0000 Te
0.3443 0.6887 0.2112 Te
0.8870 0.7740 0.5929 Te
0.6557 0.3113 0.7888 Te
0.2750 0.5500 0.6576 Tl
0.6590 0.3180 0.0533 Tl
0.3410 0.6820 0.9467 Tl
0.5000 0.0000 0.5000 Tl
0.7250 0.4500 0.3424 Tl
0.9478 0.8956 0.2068 Sn
0.0522 0.1044 0.7932 Sn
```

(2)
Entry from Alexandria: TmMg4Sc after structural relaxation (PBE-GGA).

Density in g/cm3: 3.527
Energy relative to the elements in eV/atom: -0.027
ΔE to the lowest computed polymorph in eV per atom: 0.003
D(E_F) in states/eV per atom: 0.96
Crystal system: monoclinic

```
TmMg4Sc
1.0
5.1281 0.0000 0.0000
2.5641 5.4565 -0.6012
2.5641 -1.1792 5.3649
Mg Sc Tm
4 1 1
Direct
0.2504 0.0831 0.4161 Mg
0.2524 0.4139 0.0814 Mg
0.7496 0.9169 0.5839 Mg
0.7476 0.5861 0.9186 Mg
0.0000 0.0000 0.0000 Sc
0.5000 0.5000 0.5000 Tm
```

(3)
Entry from Alexandria: K2ThBiTe4 after structural relaxation (PBE-GGA).

Density in g/cm3: 5.528
Raw total energy in eV for the cell shown: -33.1
D(E_F) in states/eV per atom: 0.70
Crystal system: monoclinic

```
K2ThBiTe4
1.0
4.6422 0.0000 0.0000
0.0000 8.1708 0.1460
0.0000 -2.8565 8.1030
Te Bi K Th
4 1 2 1
Direct
0.0000 0.2684 0.7858 Te
0.0000 0.7316 0.2142 Te
0.5000 0.2423 0.2075 Te
0.5000 0.7577 0.7925 Te
0.0000 0.0000 0.0000 Bi
0.0000 0.5000 0.5000 K
0.5000 0.0000 0.5000 K
0.5000 0.5000 0.0000 Th
```

(4)
Entry from Alexandria: KRbSbTe2 after structural relaxation (PBE-GGA).

Density in g/cm3: 4.263
ΔE to the lowest computed polymorph in eV per atom: 0.000
D(E_F) in states/eV per atom: 0.12
Crystal system: monoclinic

```
KRbSbTe2
1.0
-2.5105 -1.8010 -6.3606
6.5110 -5.5092 -1.0099
-5.6289 -2.8708 3.0346
Te K Sb Rb
4 2 2 2
Direct
0.2435 0.3102 0.1639 Te
0.7565 0.6898 0.8361 Te
0.7565 0.3102 0.6639 Te
0.2435 0.6898 0.3361 Te
0.4872 0.0000 0.7500 K
0.5128 0.0000 0.2500 K
0.0000 0.0000 0.5000 Sb
0.0000 0.0000 0.0000 Sb
0.2447 0.5000 0.7500 Rb
0.7553 0.5000 0.2500 Rb
```